Material: VPO5
Method: DFT, PBE with a Hubbard U
State: relaxed

- VASP energy: -7.352 eV/atom
- Energy above the most stable polymorph in this dataset: 28 meV/atom
- SG: Pna2_1 (33)

a = 6.225 Å, b = 10.620 Å, c = 12.567 Å
α = 90.00°, β = 90.00°, γ = 90.00°
Fractional coordinates of all 56 atoms:
O 0.957 0.900 0.244
O 0.303 0.279 0.896
O 0.305 0.995 0.885
O 0.457 0.400 0.256
O 0.963 0.646 0.223
O 0.043 0.400 0.756
O 0.044 0.133 0.240
O 0.525 0.885 0.494
O 0.017 0.146 0.987
O 0.975 0.885 0.994
O 0.456 0.133 0.740
O 0.483 0.146 0.487
O 0.197 0.279 0.396
O 0.802 0.045 0.384
O 0.803 0.779 0.604
O 0.038 0.395 0.215
O 0.697 0.779 0.104
O 0.193 0.250 0.597
O 0.307 0.250 0.097
O 0.805 0.495 0.615
O 0.695 0.495 0.115
O 0.537 0.646 0.723
O 0.544 0.633 0.260
O 0.037 0.146 0.777
O 0.198 0.545 0.616
O 0.463 0.146 0.277
O 0.538 0.895 0.285
O 0.956 0.633 0.760
O 0.195 0.995 0.385
O 0.543 0.900 0.744
O 0.698 0.045 0.884
O 0.807 0.750 0.403
O 0.462 0.395 0.715
O 0.475 0.385 0.506
O 0.025 0.385 0.006
O 0.302 0.545 0.116
O 0.983 0.646 0.013
O 0.517 0.646 0.513
O 0.693 0.750 0.903
O 0.962 0.895 0.785
V 0.724 0.753 0.751
V 0.276 0.253 0.249
V 0.776 0.753 0.251
V 0.503 0.998 0.384
V 0.003 0.498 0.116
V 0.224 0.253 0.749
V 0.497 0.498 0.616
V 0.997 0.998 0.884
P 0.662 0.760 0.504
P 0.502 0.018 0.813
P 0.338 0.260 0.496
P 0.838 0.760 0.004
P 0.002 0.518 0.687
P 0.998 0.018 0.313
P 0.498 0.518 0.187
P 0.162 0.260 0.996